No. 1
First-principles (GGA+U) data for CoNi2AsO6 after structural relaxation, as listed in Alexandria.

CIF file:
```
data_CoNi2AsO6
_chemical_formula_sum 'Co3 Ni6 As3 O18'
_cell_length_a 5.0287
_cell_length_b 5.0287
_cell_length_c 13.6629
_cell_angle_alpha 90.00
_cell_angle_beta 90.00
_cell_angle_gamma 120.00
_symmetry_space_group_name_H-M 'R 3'
_symmetry_Int_Tables_number 146
_symmetry_space_group_name_Hall 'R 3'
loop_
_atom_site_label
_atom_site_type_symbol
_atom_site_fract_x
_atom_site_fract_y
_atom_site_fract_z
Co1 Co 0.0000 0.0000 0.0000
Ni1 Ni 0.0000 0.0000 0.2874
Ni2 Ni 0.0000 0.0000 0.7964
As1 As 0.0000 0.0000 0.4891
O1 O 0.0003 0.7096 0.3982
O2 O 0.0006 0.3646 0.2225
```

=====

No. 2
First-principles (GGA+U) data for CoNiAs2O6 after structural relaxation, as listed in Alexandria.

CIF file:
```
data_CoNiAs2O6
_chemical_formula_sum 'Co4 Ni4 As8 O24'
_cell_length_a 11.319
_cell_length_b 8.884
_cell_length_c 6.526
_cell_angle_alpha 90.00
_cell_angle_beta 122.48
_cell_angle_gamma 90.00
_symmetry_space_group_name_H-M 'C 1 2/c 1'
_symmetry_Int_Tables_number 15
_symmetry_space_group_name_Hall '-C 2yc'
loop_
_atom_site_label
_atom_site_type_symbol
_atom_site_fract_x
_atom_site_fract_y
_atom_site_fract_z
Co1 Co 0.000 0.182 0.250
Ni1 Ni 0.000 0.261 0.750
As1 As 0.213 0.439 0.190
O1 O 0.108 0.276 0.127
O2 O 0.113 0.120 0.613
O3 O 0.162 0.436 0.850
```

=====

No. 3
First-principles (GGA+U) data for CoNiAsO6 after structural relaxation, as listed in Alexandria.

CIF file:
```
data_CoNiAsO6
_chemical_formula_sum 'Co2 Ni2 As2 O12'
_cell_length_a 4.8503
_cell_length_b 4.8503
_cell_length_c 8.6945
_cell_angle_alpha 90.00
_cell_angle_beta 90.00
_cell_angle_gamma 120.00
_symmetry_space_group_name_H-M 'P -3 1 c'
_symmetry_Int_Tables_number 163
_symmetry_space_group_name_Hall '-P 3 2c'
loop_
_atom_site_label
_atom_site_type_symbol
_atom_site_fract_x
_atom_site_fract_y
_atom_site_fract_z
Co1 Co 0.3333 0.6667 0.2500
Ni1 Ni 0.0000 0.0000 0.0000
As1 As 0.3333 0.6667 0.7500
O1 O 0.0018 0.3556 0.6350
```

=====

Energy list, top to bottom, in eV/atom: -5.520; -5.623; -5.560